Here is TbCdBO4 after structural relaxation from Alexandria via LeMat-Bulk. Energies are from GGA-PBE.

Output
- crystal system = orthorhombic
- size of the total moment (μB/atom) = 0.00
- DOS(E_F) (states/eV per atom) = 0.001
- calculated total energy (eV/atom) = -6.589
- symmetry = No. 74
- calculated volume (A^3/atom) = 11.4
- E_form (uncorrected) (meV/atom) = -2010

a b c (Å): 5.8509 6.0643 6.0643
angles (deg): 64.65 61.16 61.16
Fractional coordinates of all 14 atoms:
Tb (0.0000, 0.0000, 0.0000)
Tb (0.0000, 0.5000, 0.5000)
Cd (0.5000, 0.0000, 0.5000)
Cd (0.0000, 0.0000, 0.5000)
B (0.6269, 0.6231, 0.1231)
B (0.3731, 0.3769, 0.8769)
O (0.7306, 0.7090, 0.8299)
O (0.2694, 0.6701, 0.7910)
O (0.7306, 0.3299, 0.2090)
O (0.2694, 0.2910, 0.1701)
O (0.2960, 0.7336, 0.2336)
O (0.7367, 0.7336, 0.2336)
O (0.2633, 0.2664, 0.7664)
O (0.7040, 0.2664, 0.7664)


Here is TbCd2B2O6 after structural relaxation from Alexandria via LeMat-Bulk. Energies are from GGA-PBE.

Output
- crystal system = trigonal
- size of the total moment (μB/atom) = 0.00
- DOS(E_F) (states/eV per atom) = 0.235
- calculated total energy (eV/atom) = -6.644
- symmetry = No. 147
- calculated volume (A^3/atom) = 14.9
- E_form (uncorrected) (meV/atom) = -2138

a b c (Å): 5.1872 5.1872 7.0512
angles (deg): 90.00 90.00 120.00
Fractional coordinates of all 11 atoms:
Tb (0.0000, 0.0000, 0.0000)
Cd (0.3333, 0.6667, 0.3351)
Cd (0.6667, 0.3333, 0.6649)
B (0.3333, 0.6667, 0.8016)
B (0.6667, 0.3333, 0.1984)
O (0.3038, 0.3857, 0.8023)
O (0.0820, 0.6962, 0.8023)
O (0.6143, 0.9180, 0.8023)
O (0.6962, 0.6143, 0.1977)
O (0.9180, 0.3038, 0.1977)
O (0.3857, 0.0820, 0.1977)


Here is CdB2TeO8 after structural relaxation from Alexandria via LeMat-Bulk. Energies are from GGA-PBE.

Output
- crystal system = monoclinic
- size of the total moment (μB/atom) = 0.17
- DOS(E_F) (states/eV per atom) = 0.364
- calculated total energy (eV/atom) = -6.029
- symmetry = No. 12
- calculated volume (A^3/atom) = 11.3
- E_form (uncorrected) (meV/atom) = -1273

a b c (Å): 4.6312 4.6312 6.9112
angles (deg): 91.74 91.74 66.82
Site moments in Bohr magnetons follow the coordinates.
Fractional coordinates of all 12 atoms:
Cd (0.0000, 0.0000, 0.5000)  0.00
B (0.6473, 0.6473, 0.2154)  -0.02
B (0.3527, 0.3527, 0.7846)  -0.02
Te (0.0000, 0.0000, 0.0000)  -0.01
O (0.7059, 0.2243, 0.7909)  0.10
O (0.7559, 0.7559, 0.0461)  0.14
O (0.7227, 0.7227, 0.4084)  0.51
O (0.2773, 0.2773, 0.5916)  0.51
O (0.2441, 0.2441, 0.9539)  0.14
O (0.2243, 0.7059, 0.7909)  0.10
O (0.7757, 0.2941, 0.2091)  0.10
O (0.2941, 0.7757, 0.2091)  0.10


Here is CdB2TeO after structural relaxation from Alexandria via LeMat-Bulk. Energies are from GGA-PBE.

Output
- crystal system = tetragonal
- size of the total moment (μB/atom) = 0.00
- DOS(E_F) (states/eV per atom) = 0.502
- calculated total energy (eV/atom) = -3.283
- symmetry = No. 123
- calculated volume (A^3/atom) = 16.8
- E_form (uncorrected) (meV/atom) = 1191

a b c (Å): 4.5790 4.0005 4.5790
angles (deg): 90.00 90.00 90.00
Fractional coordinates of all 5 atoms:
B (0.0000, 0.0000, 0.5000)
B (0.5000, 0.0000, 0.0000)
Te (0.0000, 0.0000, 0.0000)
O (0.0000, 0.5000, 0.0000)
Cd (0.5000, 0.5000, 0.5000)


Here is Ti2CdBO6 after structural relaxation from Alexandria via LeMat-Bulk. Energies are from GGA-PBE.

Output
- crystal system = monoclinic
- size of the total moment (μB/atom) = 0.00
- DOS(E_F) (states/eV per atom) = 0.184
- calculated total energy (eV/atom) = -7.707
- symmetry = No. 15
- calculated volume (A^3/atom) = 12.2
- E_form (uncorrected) (meV/atom) = -2393

a b c (Å): 5.5803 6.9875 6.9875
angles (deg): 101.51 75.24 75.24
Fractional coordinates of all 20 atoms:
Ti (0.3516, 0.7238, 0.5351)
Ti (0.1484, 0.4649, 0.2762)
Ti (0.6484, 0.2762, 0.4649)
Ti (0.8516, 0.5351, 0.7238)
Cd (0.2500, 0.9021, 0.0979)
Cd (0.7500, 0.0979, 0.9021)
B (0.2500, 0.1779, 0.8221)
B (0.7500, 0.8221, 0.1779)
O (0.2033, 0.9740, 0.7806)
O (0.2967, 0.2194, 0.0260)
O (0.7967, 0.0260, 0.2194)
O (0.7033, 0.7806, 0.9740)
O (0.5044, 0.8304, 0.3313)
O (0.9956, 0.6687, 0.1696)
O (0.4956, 0.1696, 0.6687)
O (0.0044, 0.3313, 0.8304)
O (0.0212, 0.6860, 0.5699)
O (0.4788, 0.4301, 0.3140)
O (0.9788, 0.3140, 0.4301)
O (0.5212, 0.5699, 0.6860)


Here is TlCd2B2O6 after structural relaxation from Alexandria via LeMat-Bulk. Energies are from GGA-PBE.

Output
- crystal system = triclinic
- size of the total moment (μB/atom) = 0.00
- DOS(E_F) (states/eV per atom) = 0.295
- calculated total energy (eV/atom) = -5.852
- symmetry = No. 2
- calculated volume (A^3/atom) = 14.1
- E_form (uncorrected) (meV/atom) = -1552

a b c (Å): 5.4339 5.3069 6.5398
angles (deg): 106.38 91.17 59.90
Fractional coordinates of all 11 atoms:
Tl (0.5000, 0.0000, 0.5000)
Cd (0.7757, 0.4710, 0.8370)
Cd (0.2243, 0.5290, 0.1630)
B (0.1378, 0.7672, 0.7577)
B (0.8622, 0.2328, 0.2423)
O (0.3826, 0.7849, 0.7453)
O (0.8370, 0.4893, 0.1962)
O (0.8765, 0.9920, 0.7291)
O (0.1630, 0.5107, 0.8038)
O (0.1235, 0.0080, 0.2709)
O (0.6174, 0.2151, 0.2547)


Here is TlCdBO2 after structural relaxation from Alexandria via LeMat-Bulk. Energies are from GGA-PBE.

Output
- crystal system = tetragonal
- size of the total moment (μB/atom) = 0.00
- DOS(E_F) (states/eV per atom) = 0.230
- calculated total energy (eV/atom) = -3.327
- symmetry = No. 123
- calculated volume (A^3/atom) = 16.7
- E_form (uncorrected) (meV/atom) = 648

a b c (Å): 4.3047 4.4981 4.3047
angles (deg): 90.00 90.00 90.00
Fractional coordinates of all 5 atoms:
Tl (0.5000, 0.5000, 0.5000)
B (0.0000, 0.5000, 0.0000)
O (0.0000, 0.0000, 0.5000)
O (0.5000, 0.0000, 0.0000)
Cd (0.0000, 0.0000, 0.0000)


Here is UCdB2O8 after structural relaxation from Alexandria via LeMat-Bulk. Energies are from GGA-PBE.

Output
- crystal system = monoclinic
- size of the total moment (μB/atom) = 0.17
- DOS(E_F) (states/eV per atom) = 0.327
- calculated total energy (eV/atom) = -7.418
- symmetry = No. 12
- calculated volume (A^3/atom) = 12.7
- E_form (uncorrected) (meV/atom) = -1982

a b c (Å): 4.8668 4.8668 7.0335
angles (deg): 92.23 92.23 65.94
Site moments in Bohr magnetons follow the coordinates.
Fractional coordinates of all 12 atoms:
U (0.0000, 0.0000, 0.0000)  -0.02
Cd (0.0000, 0.0000, 0.5000)  0.00
B (0.6523, 0.6523, 0.2435)  -0.02
B (0.3477, 0.3477, 0.7565)  -0.02
O (0.6775, 0.2159, 0.7763)  0.14
O (0.7718, 0.7718, 0.0852)  0.05
O (0.7311, 0.7311, 0.4313)  0.56
O (0.2689, 0.2689, 0.5687)  0.56
O (0.2282, 0.2282, 0.9148)  0.05
O (0.2159, 0.6775, 0.7763)  0.14
O (0.7841, 0.3225, 0.2237)  0.14
O (0.3225, 0.7841, 0.2237)  0.14


Here is UCdBO5 after structural relaxation from Alexandria via LeMat-Bulk. Energies are from GGA-PBE.

Output
- crystal system = monoclinic
- size of the total moment (μB/atom) = 0.13
- DOS(E_F) (states/eV per atom) = 0.031
- calculated total energy (eV/atom) = -7.813
- symmetry = No. 15
- calculated volume (A^3/atom) = 13.2
- E_form (uncorrected) (meV/atom) = -2354

a b c (Å): 5.4932 5.4932 7.8745
angles (deg): 105.09 105.09 102.71
Site moments in Bohr magnetons follow the coordinates.
Fractional coordinates of all 16 atoms:
U (0.0000, 0.0000, 0.5000)  1.08
U (0.0000, 0.0000, 0.0000)  1.08
Cd (0.3520, 0.6480, 0.2500)  0.00
Cd (0.6480, 0.3520, 0.7500)  0.00
B (0.6829, 0.3171, 0.2500)  0.00
B (0.3171, 0.6829, 0.7500)  0.00
O (0.1031, 0.8969, 0.2500)  -0.03
O (0.8969, 0.1031, 0.7500)  -0.03
O (0.8771, 0.3086, 0.1475)  -0.02
O (0.1229, 0.6914, 0.8525)  -0.02
O (0.6914, 0.1229, 0.3525)  -0.02
O (0.3086, 0.8771, 0.6475)  -0.02
O (0.7416, 0.5897, 0.3859)  -0.02
O (0.2584, 0.4103, 0.6141)  -0.02
O (0.4103, 0.2584, 0.1141)  -0.02
O (0.5897, 0.7416, 0.8859)  -0.02


DOS(E_F) of number 9 (UCdBO5)? 0.031 states/eV per atom


Among the records above, which one has the highest calculated volume? CdB2TeO